(1)
First-principles (PBE) data for GaSnAu after structural relaxation, as listed in Alexandria via LeMat-Bulk.

## Properties
* symmetry: No. 2
* formation energy from the elements: -131 meV per atom

```
GaSnAu
1.0
4.245 0.000 0.000
2.104 4.742 0.000
2.122 0.124 6.554
Ga Sn Au
2 2 2
Direct
0.157 0.237 0.453
0.843 0.763 0.547
0.417 0.292 0.874
0.583 0.708 0.126
0.165 0.887 0.780
0.835 0.113 0.220
```

---

(2)
First-principles (PBE) data for ZrNb3I after structural relaxation, as listed in Alexandria via LeMat-Bulk.

## Properties
* formation energy from raw total energies: 6.972 eV per formula unit
* polymorph energy (0 for the lowest one): 0 meV per atom
* symmetry: No. 221

```
ZrNb3I
1.0
4.989 0.000 0.000
0.000 4.989 0.000
0.000 0.000 4.989
Zr Nb I
1 3 1
Direct
0.000 0.000 0.000
0.000 0.500 0.500
0.500 0.000 0.500
0.500 0.500 0.000
0.500 0.500 0.500
```

---

(3)
First-principles (PBE) data for DyPd3O6 after structural relaxation, as listed in Alexandria via LeMat-Bulk.

## Properties
* formation energy from raw total energies: -12.086 eV per formula unit
* symmetry: No. 65

```
DyPd3O6
1.0
3.561 -5.064 0.000
3.561 5.064 0.000
0.000 0.000 3.465
Dy Pd O
1 3 6
Direct
0.000 0.000 0.000
0.000 0.500 0.500
0.500 0.000 0.500
0.500 0.500 0.000
0.151 0.849 0.500
0.160 0.419 0.000
0.419 0.160 0.000
0.581 0.840 0.000
0.840 0.581 0.000
0.849 0.151 0.500
```

---

(4)
First-principles (PBE) data for NdHfN2 after structural relaxation, as listed in Alexandria via LeMat-Bulk.

## Properties
* formation energy from raw total energies: -4.883 eV per formula unit
* symmetry: No. 62

```
NdHfN2
1.0
6.341 0.000 0.000
0.000 3.415 0.000
0.000 0.000 13.328
Nd Hf N
4 4 8
Direct
0.216 0.250 0.196
0.284 0.750 0.696
0.716 0.250 0.304
0.784 0.750 0.804
0.171 0.250 0.941
0.329 0.750 0.441
0.671 0.250 0.559
0.829 0.750 0.059
0.098 0.250 0.790
0.166 0.750 0.033
0.334 0.250 0.533
0.402 0.750 0.290
0.598 0.250 0.710
0.666 0.750 0.467
0.834 0.250 0.967
0.902 0.750 0.210
```